Material: SmErCu2Ge2
Method: DFT, PBE
State: optimized geometry

Output
Final energy   -30.05 eV per cell
Total moment   0.006 μB per formula unit
ρ   8.43 g/cm³
SG   P3m1 (156)

Lattice parameters (Å, degrees): 4.263 4.263 7.381 90.00 90.00 120.00
Sites, in units of the cell vectors:
Cu 0.667 0.333 0.495
Cu 0.333 0.667 0.961
Er 0.000 0.000 0.747
Ge 0.667 0.333 0.007
Ge 0.333 0.667 0.523
Sm 0.000 0.000 0.247